[1]
A plane-wave DFT calculation with PBE-GGA was carried out for crystalline Zn2HPbN at its relaxed geometry.

Values from the calculation:
energy above the most stable polymorph in this dataset: 507.1 meV per atom
crystal system: tetragonal
space group: No. 123
spin magnetization: 2.2 μB/cell

abc: 5.419 3.933 5.419
angles: 90.00 90.00 90.00
Each line ends with the local moment (μB).
Positions (direct):
Pb: 0.000 0.000 0.000  0.02
Zn: 0.500 0.000 0.000  0.01
Zn: 0.000 0.000 0.500  -0.01
H: 0.000 0.500 0.000  0.01
N: 0.500 0.500 0.500  1.49


[2]
A plane-wave DFT calculation with PBE-GGA was carried out for crystalline Zn2HPbN at its relaxed geometry.

Values from the calculation:
energy above the most stable polymorph in this dataset: 0.0 meV per atom
crystal system: tetragonal
space group: No. 123
spin magnetization: 0.0 μB/cell

abc: 3.637 6.061 3.637
angles: 90.00 90.00 90.00
Positions (direct):
Zn: 0.500 0.000 0.000
H: 0.000 0.000 0.000
Pb: 0.000 0.500 0.000
N: 0.500 0.500 0.500
Zn: 0.000 0.000 0.500